# 1
Computed, not measured: GeMo2P after structural relaxation at the PBE level of DFT.

```
data_GeMo2P
_chemical_formula_sum 'Ge2 Mo4 P2'
_symmetry_space_group_name_H-M 'P 1'
_symmetry_Int_Tables_number 1
_symmetry_space_group_name_Hall 'P 1'
_cell_length_a 6.849
_cell_length_b 6.849
_cell_length_c 6.849
_cell_angle_alpha 131.72
_cell_angle_beta 131.72
_cell_angle_gamma 70.66
loop_
_atom_site_label
_atom_site_fract_x
_atom_site_fract_y
_atom_site_fract_z
Ge1 0.000 0.000 0.000
Ge2 0.750 0.250 0.500
Mo1 0.147 0.625 0.022
Mo2 0.375 0.397 0.522
Mo3 0.603 0.125 0.978
Mo4 0.875 0.853 0.478
P1 0.250 0.750 0.500
P2 0.500 0.500 0.000
```

Calculated values
**Formation enthalpy at 0 K**: 0.69 eV/atom
**SG**: No. 122
**Magnetization**: 6.00 μB per cell
**Relative energy among the computed polymorphs**: 785 meV/atom
**Calculated total energy**: -28.947 eV per formula unit

# 2
Computed, not measured: La2TmBi after structural relaxation at the PBE level of DFT.

```
data_La2TmBi
_chemical_formula_sum 'La2 Tm1 Bi1'
_symmetry_space_group_name_H-M 'P 1'
_symmetry_Int_Tables_number 1
_symmetry_space_group_name_Hall 'P 1'
_cell_length_a 4.355
_cell_length_b 4.355
_cell_length_c 7.026
_cell_angle_alpha 90.00
_cell_angle_beta 90.00
_cell_angle_gamma 90.00
loop_
_atom_site_label
_atom_site_fract_x
_atom_site_fract_y
_atom_site_fract_z
La1 0.000 0.000 0.234
La2 0.000 0.000 0.766
Tm1 0.500 0.500 0.500
Bi1 0.500 0.500 0.000
```

Calculated values
**Formation enthalpy at 0 K**: -0.42 eV/atom
**SG**: No. 123
**Magnetization**: 0.00 μB per cell
**Relative energy among the computed polymorphs**: 11 meV/atom
**Calculated total energy**: -19.876 eV per formula unit

# 3
Computed, not measured: Er4ZnOs after structural relaxation at the PBE level of DFT.

```
data_Er4ZnOs
_chemical_formula_sum 'Er4 Zn1 Os1'
_symmetry_space_group_name_H-M 'P 1'
_symmetry_Int_Tables_number 1
_symmetry_space_group_name_Hall 'P 1'
_cell_length_a 4.820
_cell_length_b 4.820
_cell_length_c 6.859
_cell_angle_alpha 90.00
_cell_angle_beta 90.00
_cell_angle_gamma 90.00
loop_
_atom_site_label
_atom_site_fract_x
_atom_site_fract_y
_atom_site_fract_z
Er1 0.000 0.500 0.237
Er2 0.000 0.500 0.763
Er3 0.500 0.000 0.237
Er4 0.500 0.000 0.763
Zn1 0.000 0.000 0.500
Os1 0.500 0.500 0.000
```

Calculated values
**Formation enthalpy at 0 K**: -0.13 eV/atom
**SG**: No. 123
**Magnetization**: 0.00 μB per cell
**Relative energy among the computed polymorphs**: 133 meV/atom
**Calculated total energy**: -31.543 eV per formula unit

# 4
Computed, not measured: LaZn2SiRu2 after structural relaxation at the PBE level of DFT.

```
data_LaZn2SiRu2
_chemical_formula_sum 'La1 Zn2 Si1 Ru2'
_symmetry_space_group_name_H-M 'P 1'
_symmetry_Int_Tables_number 1
_symmetry_space_group_name_Hall 'P 1'
_cell_length_a 4.464
_cell_length_b 4.464
_cell_length_c 5.795
_cell_angle_alpha 90.00
_cell_angle_beta 90.00
_cell_angle_gamma 90.00
loop_
_atom_site_label
_atom_site_fract_x
_atom_site_fract_y
_atom_site_fract_z
La1 0.000 0.000 0.000
Zn1 0.500 0.500 0.239
Zn2 0.500 0.500 0.761
Si1 0.000 0.000 0.500
Ru1 0.000 0.500 0.500
Ru2 0.500 0.000 0.500
```

Calculated values
**Raw formation energy**: -288.3 meV/atom
**SG**: No. 123
**Magnetization**: 0.00 μB per cell
**Calculated total energy**: -33.180 eV per formula unit

# 5
Computed, not measured: La3Nd7Er after structural relaxation at the PBE level of DFT.

```
data_La3Nd7Er
_chemical_formula_sum 'La3 Nd7 Er1'
_symmetry_space_group_name_H-M 'P 1'
_symmetry_Int_Tables_number 1
_symmetry_space_group_name_Hall 'P 1'
_cell_length_a 8.681
_cell_length_b 8.681
_cell_length_c 8.681
_cell_angle_alpha 139.41
_cell_angle_beta 97.41
_cell_angle_gamma 96.41
loop_
_atom_site_label
_atom_site_fract_x
_atom_site_fract_y
_atom_site_fract_z
La1 0.000 0.000 0.000
La2 0.212 0.500 0.712
La3 0.788 0.500 0.288
Nd1 0.008 0.803 0.206
Nd2 0.210 0.710 0.500
Nd3 0.403 0.197 0.206
Nd4 0.500 0.500 0.000
Nd5 0.597 0.803 0.794
Nd6 0.790 0.290 0.500
Nd7 0.992 0.197 0.794
Er1 0.500 0.000 0.500
```

Calculated values
**Formation enthalpy at 0 K**: 0.23 eV/atom
**SG**: No. 71
**Magnetization**: 0.00 μB per cell
**Relative energy among the computed polymorphs**: 10 meV/atom
**Calculated total energy**: -50.215 eV per formula unit

# 6
Computed, not measured: CsSrTl2 after structural relaxation at the PBE level of DFT.

```
data_CsSrTl2
_chemical_formula_sum 'Cs1 Sr1 Tl2'
_symmetry_space_group_name_H-M 'P 1'
_symmetry_Int_Tables_number 1
_symmetry_space_group_name_Hall 'P 1'
_cell_length_a 11.724
_cell_length_b 11.724
_cell_length_c 11.724
_cell_angle_alpha 20.40
_cell_angle_beta 20.40
_cell_angle_gamma 20.40
loop_
_atom_site_label
_atom_site_fract_x
_atom_site_fract_y
_atom_site_fract_z
Cs1 0.000 0.000 0.000
Sr1 0.500 0.500 0.500
Tl1 0.241 0.241 0.241
Tl2 0.759 0.759 0.759
```

Calculated values
**Formation enthalpy at 0 K**: -0.05 eV/atom
**SG**: No. 166
**Magnetization**: 0.00 μB per cell
**Relative energy among the computed polymorphs**: 154 meV/atom
**Calculated total energy**: -7.449 eV per formula unit

# 7
Computed, not measured: Cs3Np3AsSe8 after structural relaxation at the PBE level of DFT.

```
data_Cs3Np3AsSe8
_chemical_formula_sum 'Cs3 Np3 As1 Se8'
_symmetry_space_group_name_H-M 'P 1'
_symmetry_Int_Tables_number 1
_symmetry_space_group_name_Hall 'P 1'
_cell_length_a 8.485
_cell_length_b 8.485
_cell_length_c 9.790
_cell_angle_alpha 115.70
_cell_angle_beta 115.70
_cell_angle_gamma 59.90
loop_
_atom_site_label
_atom_site_fract_x
_atom_site_fract_y
_atom_site_fract_z
Cs1 0.000 0.000 0.000
Cs2 0.000 0.500 0.000
Cs3 0.500 0.000 0.000
Np1 0.000 0.500 0.500
Np2 0.500 0.000 0.500
Np3 0.500 0.500 0.500
As1 0.000 0.000 0.500
Se1 0.219 0.219 0.675
Se2 0.220 0.737 0.676
Se3 0.263 0.780 0.324
Se4 0.271 0.271 0.314
Se5 0.729 0.729 0.686
Se6 0.737 0.220 0.676
Se7 0.780 0.263 0.324
Se8 0.781 0.781 0.325
```

Calculated values
**Raw formation energy**: -1022.9 meV/atom
**SG**: No. 12
**Magnetization**: 3.70 μB per cell
**Calculated total energy**: -89.252 eV per formula unit

# 8
Computed, not measured: NaCoCCl2 after structural relaxation at the PBE level of DFT.

```
data_NaCoCCl2
_chemical_formula_sum 'Na1 Co1 C1 Cl2'
_symmetry_space_group_name_H-M 'P 1'
_symmetry_Int_Tables_number 1
_symmetry_space_group_name_Hall 'P 1'
_cell_length_a 4.905
_cell_length_b 4.905
_cell_length_c 3.568
_cell_angle_alpha 90.00
_cell_angle_beta 90.00
_cell_angle_gamma 90.00
loop_
_atom_site_label
_atom_site_fract_x
_atom_site_fract_y
_atom_site_fract_z
Na1 0.000 0.000 0.000
Co1 0.500 0.500 0.500
C1 0.500 0.500 0.000
Cl1 0.000 0.500 0.500
Cl2 0.500 0.000 0.500
```

Calculated values
**Raw formation energy**: -73.8 meV/atom
**SG**: No. 123
**Magnetization**: 0.00 μB per cell
**Calculated total energy**: -21.711 eV per formula unit

# 9
Computed, not measured: Y2HoSc3Te6 after structural relaxation at the PBE level of DFT.

```
data_Y2HoSc3Te6
_chemical_formula_sum 'Y2 Ho1 Sc3 Te6'
_symmetry_space_group_name_H-M 'P 1'
_symmetry_Int_Tables_number 1
_symmetry_space_group_name_Hall 'P 1'
_cell_length_a 9.528
_cell_length_b 9.528
_cell_length_c 8.548
_cell_angle_alpha 102.98
_cell_angle_beta 102.98
_cell_angle_gamma 25.79
loop_
_atom_site_label
_atom_site_fract_x
_atom_site_fract_y
_atom_site_fract_z
Y1 0.167 0.167 0.334
Y2 0.833 0.833 0.666
Ho1 0.500 0.500 0.000
Sc1 0.168 0.168 0.833
Sc2 0.500 0.500 0.500
Sc3 0.832 0.832 0.167
Te1 0.004 0.004 0.743
Te2 0.331 0.331 0.926
Te3 0.337 0.337 0.409
Te4 0.663 0.663 0.591
Te5 0.669 0.669 0.074
Te6 0.996 0.996 0.257
```

Calculated values
**Raw formation energy**: -1192.9 meV/atom
**SG**: No. 12
**Magnetization**: 0.00 μB per cell
**Calculated total energy**: -69.665 eV per formula unit

Which of these has the highest calculated total energy? CsSrTl2